VASP calculation (PBE) on a relaxed structure of Ce4IrRhBr2.

It has space group P2/m (No. 10), with a = 7.0925 Å, b = 4.0896 Å, c = 8.0216 Å, α = 90.00°, β = 107.15° and γ = 90.00°. The distinct sites, in fractional coordinates, are Ce at (0.2317, 0.0000, 0.1988), Ce at (0.2659, 0.5000, 0.8003), Ir at (0.0000, 0.5000, 0.0000), Rh at (0.5000, 0.0000, 0.0000), Br at (0.0000, 0.0000, 0.5000) and Br at (0.5000, 0.5000, 0.5000).

For the total moment, the calculation gives 0.48 μB per atom. The value obtained for the volume is 222.3 Å³/f.u. The energy relative to the elements, uncorrected comes out at -1.0173 eV per atom. Its total energy is -0.23626 Ha/atom.